Version P
The following is a SCAN calculation of a crystal of Li7Mn4CoO12 relaxed with PBEsol, from Alexandria.

abc: 4.8881 8.4733 4.9853
angles: 90.00 109.03 90.00
Space group P2 (No. 3)
Unique sites:
Li (0.0000, 0.0000, 0.0000) (multiplicity 1)
Li (0.0000, 0.1592, 0.5000) (multiplicity 1)
Li (0.0000, 0.3203, 0.0000) (multiplicity 1)
Li (0.0000, 0.6664, 0.0000) (multiplicity 1)
Li (0.5000, 0.1584, 0.0000) (multiplicity 1)
Li (0.5000, 0.4940, 0.0000) (multiplicity 1)
Li (0.5000, 0.8327, 0.0000) (multiplicity 1)
Mn (0.0000, 0.4946, 0.5000) (multiplicity 1)
Mn (0.5000, 0.3219, 0.5000) (multiplicity 1)
Mn (0.5000, 0.6621, 0.5000) (multiplicity 1)
Mn (0.5000, 0.9964, 0.5000) (multiplicity 1)
Co (0.0000, 0.8312, 0.5000) (multiplicity 1)
O (0.2412, 0.6646, 0.7225) (multiplicity 2)
O (0.2456, 0.3425, 0.7255) (multiplicity 2)
O (0.2540, 0.9851, 0.7238) (multiplicity 2)
O (0.2555, 0.8278, 0.2800) (multiplicity 2)
O (0.2603, 0.4958, 0.2764) (multiplicity 2)
O (0.2779, 0.1608, 0.2682) (multiplicity 2)

Version Q
The following is a SCAN calculation of a crystal of Li7Mn4CoO12 relaxed with PBEsol, from Alexandria.

abc: 9.5579 8.4136 4.8741
angles: 90.00 99.69 90.00
Space group C2 (No. 5)
Unique sites:
Li (0.0000, 0.0000, 0.0000) (multiplicity 2)
Li (0.2408, 0.1632, 0.2369) (multiplicity 4)
Li (0.2430, 0.9964, 0.7582) (multiplicity 4)
Li (0.2465, 0.8336, 0.2417) (multiplicity 4)
Mn (0.0000, 0.1608, 0.5000) (multiplicity 2)
Mn (0.0000, 0.5000, 0.5000) (multiplicity 2)
Mn (0.0000, 0.6663, 0.0000) (multiplicity 2)
Mn (0.0000, 0.8337, 0.5000) (multiplicity 2)
Co (0.0000, 0.3296, 0.0000) (multiplicity 2)
O (0.1089, 0.3323, 0.3657) (multiplicity 4)
O (0.1118, 0.4970, 0.8695) (multiplicity 4)
O (0.1127, 0.1743, 0.8575) (multiplicity 4)
O (0.1127, 0.6649, 0.3693) (multiplicity 4)
O (0.1143, 0.8195, 0.8613) (multiplicity 4)
O (0.1159, 0.9978, 0.3905) (multiplicity 4)

Most stable: version Q